Record 1
The following is a PBE calculation of Y2TaNO after structural relaxation, from the Alexandria database.

Symmetry: P4/mmm (123)

The structure in extended XYZ format:
```
5
Lattice="-0.867 2.269 3.727 -2.106 -3.709 1.768 3.863 -1.368 1.731" Properties=species:S:1:pos:R:3 pbc="T T T"
Y 1.931 -0.684 0.866
Y -0.433 1.135 1.863
N -1.053 -1.854 0.884
O 0.000 0.000 0.000
Ta 0.445 -1.404 3.613
```

Record 2
The following is a PBE calculation of ZrTaNO after structural relaxation, from the Alexandria database.

Symmetry: P-6m2 (187)

The structure in extended XYZ format:
```
4
Lattice="-1.265 1.357 -3.160 2.495 -2.683 -0.026 -3.352 -3.118 0.003" Properties=species:S:1:pos:R:3 pbc="T T T"
Zr -0.011 0.010 -2.115
Ta -1.676 -1.559 0.002
N -0.434 -2.895 -1.069
O 0.000 0.000 0.000
```

no.,total moment (μB per cell),ΔE_f (raw) (eV/f.u.)
1,0.0,1.17
2,0.0,-4.50